Material: Be2CdHg
Method: DFT, SCAN
State: PBEsol geometry

Its energy of formation from the pure elements is 0.46 eV/atom. As for the energy above the most stable polymorph in this dataset: 5.47 kcal/mol of atoms. The calculated total energy is -26.3603 eV/atom. Its volume is 130.96 Å³ per cell.

The space group is Cmmm (No. 65) and the conventional cell measures 2.7336, 5.7179 and 8.3789 Å, with angles of 90.00, 90.00 and 90.00 degrees. The distinct sites, in fractional coordinates, are Be at (0.0000, 0.0000, 0.2467), Cd at (0.0000, 0.5000, 0.5000) and Hg at (0.0000, 0.5000, 0.0000).